# HfCdP2S (PBE, optimized geometry)
data_HfCdP2S
_chemical_formula_sum 'Hf1 Cd1 P2 S1'
_space_group_name_H-M_alt 'P 4/m m m'
_space_group_IT_number 123
_space_group_name_Hall '-P 4 2'
_cell_length_a 5.049
_cell_length_b 5.049
_cell_length_c 4.852
_cell_angle_alpha 90.00
_cell_angle_beta 90.00
_cell_angle_gamma 90.00
loop_
_atom_site_label
_atom_site_fract_x
_atom_site_fract_y
_atom_site_fract_z
_atom_site_occupancy
Hf1 0.000 0.000 0.000 1
Cd1 0.500 0.500 0.500 1
P1 0.000 0.500 0.000 1
S1 0.000 0.000 0.500 1
# volume	123.7	Å³/cell
# total moment	0.0	μB/f.u.
# total energy	-5.11	eV per atom
# raw formation energy	0.057	eV/atom

=====

# Sc5Zn6Cd (PBE, optimized geometry)
data_Sc5Zn6Cd
_chemical_formula_sum 'Sc10 Zn12 Cd2'
_space_group_name_H-M_alt 'C 1 2/m 1'
_space_group_IT_number 12
_cell_length_a 8.194
_cell_length_b 14.180
_cell_length_c 4.688
_cell_angle_alpha 90.00
_cell_angle_beta 124.81
_cell_angle_gamma 90.00
loop_
_space_group_symop_operation_xyz
'x,y,z'
'-x,-y,-z'
'-x,y,-z'
'x,-y,z'
'x+1/2,y+1/2,z'
'-x+1/2,-y+1/2,-z'
'-x+1/2,y+1/2,-z'
'x+1/2,-y+1/2,z'
loop_
_atom_site_label
_atom_site_fract_x
_atom_site_fract_y
_atom_site_fract_z
_atom_site_occupancy
Sc1 0.000 0.000 0.000 1
Sc2 0.000 0.170 0.500 1
Sc3 0.000 0.338 0.000 1
Zn1 0.245 0.000 0.746 1
Zn2 0.249 0.167 0.249 1
Cd1 0.000 0.500 0.500 1
# volume	447.2	Å³/cell
# total moment	0.0	μB/f.u.
# energy relative to the elements	-31	kJ/mol of atoms
# total energy	-3.67	eV per atom